! CrInAuF2, optimized geometry, DFT PBE with a Hubbard U; values from VASP
! volume = 19.4 Å³ per atom
! DFT total energy = -4.92 eV/atom
! total magnetization = 3.9 μB/f.u.
! symmetry = P4/mmm
&SYSTEM
  ibrav = 0, nat = 5, ntyp = 4
/
ATOMIC_SPECIES
Au 196.97 Au.upf
In 114.82 In.upf
F 19.00 F.upf
Cr 52.00 Cr.upf
ATOMIC_POSITIONS crystal
Au 0.0000 0.0000 0.5000
In 0.5000 0.5000 0.5000
F 0.0000 0.5000 0.0000
F 0.5000 0.0000 0.0000
Cr 0.0000 0.0000 0.0000
CELL_PARAMETERS angstrom
-1.6983 -0.7606 -3.5223
-2.8017 -2.1701 1.8195
-3.4806 4.9961 0.5993